(1)
A plane-wave DFT calculation with PBE was carried out for a relaxed Pm2YSn3Pt4 crystal.

Cell: 4.571 4.571 11.237 Å, 90.00 90.00 90.00°
Space group P-4m2 (No. 115)
Unique sites:
Pm (0.000, 0.500, 0.216) [2 per cell]
Y (0.000, 0.000, 0.500) [1 per cell]
Sn (0.000, 0.500, 0.874) [2 per cell]
Sn (0.500, 0.500, 0.500) [1 per cell]
Pt (0.000, 0.000, 0.000) [1 per cell]
Pt (0.000, 0.500, 0.644) [2 per cell]
Pt (0.500, 0.500, 0.000) [1 per cell]

Summary:
Formation energy from the elements: -0.893 eV per atom
Total magnetization: 0.00 μB/cell

(2)
A plane-wave DFT calculation with PBE was carried out for a relaxed Pm2ZnSnPt6 crystal.

Cell: 5.6019 5.6019 24.8781 Å, 90.00 90.00 120.00°
Space group R-3m (No. 166, hexagonal axes)
Unique sites:
Pm (0.0000, 0.0000, 0.2012) [6 per cell]
Zn (0.0000, 0.0000, 0.5000) [3 per cell]
Sn (0.0000, 0.0000, 0.0000) [3 per cell]
Pt (0.0021, 0.5011, 0.2461) [18 per cell]

Summary:
Formation energy from the elements: -0.740 eV per atom
Total magnetization: 0.00 μB/cell

(3)
A plane-wave DFT calculation with PBE was carried out for a relaxed PmZnSnPt3 crystal.

Cell: 6.633 12.451 5.922 Å, 90.00 90.00 90.00°
Space group Cmcm (No. 63)
Unique sites:
Pm (0.000, 0.197, 0.250) [4 per cell]
Zn (0.000, 0.437, 0.250) [4 per cell]
Sn (0.000, 0.139, 0.750) [4 per cell]
Pt (0.000, 0.346, 0.750) [4 per cell]
Pt (0.217, 0.000, 0.000) [8 per cell]

Summary:
Formation energy from the elements: -0.542 eV per atom
Total magnetization: 0.00 μB/cell

(4)
A plane-wave DFT calculation with PBE was carried out for a relaxed PmZnSnPt crystal.

Cell: 6.952 6.952 6.952 Å, 90.00 90.00 90.00°
Space group F-43m (No. 216)
Unique sites:
Pm (0.000, 0.000, 0.000) [4 per cell]
Zn (0.250, 0.250, 0.750) [4 per cell]
Sn (0.000, 0.000, 0.500) [4 per cell]
Pt (0.250, 0.250, 0.250) [4 per cell]

Summary:
Formation energy from the elements: -0.662 eV per atom
Total magnetization: 0.00 μB/cell